This record from Alexandria describes an optimized crystal structure of TaCd2Si. The functional is PBE-GGA.

POSCAR file:
```
TaCd2Si
1.0
3.8892 0.0000 0.0000
0.0000 3.8892 0.0000
0.0000 0.0000 4.8462
Ta Cd Si
1 2 1
Cartesian
0.0000 0.0000 0.0000 Ta
0.0000 1.9446 2.4231 Cd
1.9446 0.0000 2.4231 Cd
1.9446 1.9446 0.0000 Si
```

Calculated values
- Fermi-level density of states (states/eV/atom) = 0.5543
- E_form (uncorrected) (eV per formula unit) = 1.16
- volume (Å³ per cell) = 73.30